VASP calculation (PBE-GGA) on a geometry-optimized LaSbTe2I structure.

Properties
Energy relative to the elements, uncorrected, eV per atom: 0.079
Raw total energy, eV/cell: -16.49
Energy above the lowest structure with this stoichiometry, meV/atom: 308

a = 6.0573 Å, b = 6.0573 Å, c = 6.4454 Å
α = 90.00°, β = 90.00°, γ = 90.00°
Closest atoms and distances in Å follow each position.
Space group P4/mmm (No. 123)
One atom of each set of equivalent atoms:
La: 0.0000 0.0000 0.0000  4 Te 3.03, 2 Sb 3.22
Sb: 0.0000 0.0000 0.5000  2 La 3.22
Te: 0.0000 0.5000 0.0000  2 La 3.03
I: 0.5000 0.5000 0.5000  4 Sb 4.28, 8 Te 4.42